[1]
The following is a DFT calculation (PBE) of crystalline CeTmPO2 at its relaxed geometry.

Formation energy without anion corrections, eV/f.u.: -13.1
M_tot, μB per atom: 0.037

a b c (Å): 3.7336 11.9702 7.4193
angles (deg): 90.00 90.00 90.00
Space group Cmcm (No. 63)
Asymmetric unit:
Ce1 0.0000 0.2297 0.2500 (multiplicity 4)
Tm1 0.0000 0.5000 0.0000 (multiplicity 4)
P1 0.0000 0.0530 0.7500 (multiplicity 4)
O1 0.0000 0.3223 0.5727 (multiplicity 8)

[2]
The following is a DFT calculation (PBE) of crystalline Mn2CdFeH at its relaxed geometry.

Energy above the lowest structure with this stoichiometry, meV/atom: 125
M_tot, μB per atom: 0.529

a b c (Å): 2.7247 2.7247 8.8553
angles (deg): 90.00 90.00 120.00
Space group P3m1 (No. 156)
Asymmetric unit:
Mn1 0.0000 0.0000 0.0000 (multiplicity 1)
Mn2 0.3333 0.6667 0.8023 (multiplicity 1)
Cd1 0.0000 0.0000 0.5277 (multiplicity 1)
Fe1 0.3333 0.6667 0.2243 (multiplicity 1)
H1 0.6667 0.3333 0.2924 (multiplicity 1)

[3]
The following is a DFT calculation (PBE) of crystalline TaCo2Ni at its relaxed geometry.

Energy above the lowest structure with this stoichiometry, meV/atom: 360
Energy of formation, eV/atom: 0.08
M_tot, μB per atom: 0.509

a b c (Å): 5.0500 8.4621 2.6380
angles (deg): 90.00 115.45 90.00
Space group C2/m (No. 12)
Asymmetric unit:
Ta1 0.0000 0.0000 0.0000 (multiplicity 2)
Co1 0.2500 0.2500 0.5000 (multiplicity 4)
Ni1 0.0000 0.5000 0.0000 (multiplicity 2)

[4]
The following is a DFT calculation (PBE) of crystalline BaPdCl3 at its relaxed geometry.

Energy above the lowest structure with this stoichiometry, meV/atom: 616
Formation energy without anion corrections, eV/f.u.: -4.1
M_tot, μB per atom: 0.200

a b c (Å): 5.9993 5.9993 5.9993
angles (deg): 90.00 90.00 90.00
Space group Pm-3m (No. 221)
Asymmetric unit:
Ba1 0.0000 0.0000 0.0000 (multiplicity 1)
Pd1 0.5000 0.5000 0.5000 (multiplicity 1)
Cl1 0.0000 0.0000 0.5000 (multiplicity 3)

Q: Among the records above, which one has the lowest M_tot?
A: CeTmPO2